# LaSc2Ir2 | the Alexandria database | PBE | optimized geometry
data_LaSc2Ir2
_chemical_formula_sum 'La2 Sc4 Ir4'
_space_group_name_H-M_alt 'I 4/m m m'
_space_group_IT_number 139
_space_group_name_Hall '-I 4 2'
_cell_length_a 4.311
_cell_length_b 4.311
_cell_length_c 11.941
_cell_angle_alpha 90.00
_cell_angle_beta 90.00
_cell_angle_gamma 90.00
loop_
_atom_site_label
_atom_site_fract_x
_atom_site_fract_y
_atom_site_fract_z
_atom_site_occupancy
La1 0.000 0.000 0.000 1
Sc1 0.000 0.500 0.250 1
Ir1 0.000 0.000 0.388 1
# - D(E_F): 7.677 states/eV/cell
# - Distance to the lowest polymorph of the same formula: 0.000 eV per atom
# - Energy relative to the elements: -0.82 eV/atom